The following is a DFT calculation (PBE with a Hubbard U) of crystalline VIF2 at its relaxed geometry.

```
data_VIF2
_chemical_formula_sum 'V3 I3 F6'
_symmetry_space_group_name_H-M 'R -3 m'
_symmetry_Int_Tables_number 166
_symmetry_space_group_name_Hall '-R 3 2"'
_cell_length_a 3.3302
_cell_length_b 3.3302
_cell_length_c 31.7339
_cell_angle_alpha 90.00
_cell_angle_beta 90.00
_cell_angle_gamma 120.00
loop_
_atom_site_label
_atom_site_type_symbol
_atom_site_fract_x
_atom_site_fract_y
_atom_site_fract_z
V1 V 0.0000 0.0000 0.0000
I1 I 0.0000 0.0000 0.5000
F1 F 0.0000 0.0000 0.0558
```

Computed properties:
- excess energy over the best structure of this formula in the dataset (meV/atom) = 682
- total magnetic moment (μB per formula unit) = 1.99
- DOS(E_F) (states/eV per cell) = 6.73